(1)
! LaTbDy3Sc (GGA-PBE, optimized geometry); values from VASP
&SYSTEM
  ibrav = 0, nat = 12, ntyp = 4
/
ATOMIC_SPECIES
Dy 162.50 Dy.upf
Tb 158.93 Tb.upf
La 138.91 La.upf
Sc 44.96 Sc.upf
CELL_PARAMETERS angstrom
-0.571 2.581 -4.235
-0.556 -7.692 -1.671
-9.916 0.377 1.566
ATOMIC_POSITIONS angstrom
Dy -5.509 -4.053 -1.728
Dy -10.479 -0.493 -1.831
Dy -7.726 -1.911 -0.124
Dy -0.564 -4.241 -2.509
Dy -3.318 -2.823 -4.217
Dy -5.534 -0.681 -2.612
Tb -4.958 0.188 0.783
Tb 0.000 0.000 0.000
La -8.274 -6.086 -2.595
La -2.769 1.352 -1.745
Sc -2.765 -2.080 -0.895
Sc -8.278 -2.654 -3.445
! crystal system: orthorhombic
! formation enthalpy at 0 K: 0.05 eV per atom



(2)
! Ba2Cd2Pt (GGA-PBE, optimized geometry); values from VASP
&SYSTEM
  ibrav = 0, nat = 10, ntyp = 3
/
ATOMIC_SPECIES
Cd 112.41 Cd.upf
Ba 137.33 Ba.upf
Pt 195.08 Pt.upf
CELL_PARAMETERS angstrom
4.454 -0.009 -0.796
-2.330 6.160 -0.262
-0.145 -0.161 12.050
ATOMIC_POSITIONS angstrom
Cd -0.465 5.030 10.186
Cd -1.384 5.016 5.052
Cd 2.444 0.960 0.807
Cd 3.363 0.974 5.941
Ba -0.443 1.432 10.365
Ba 0.671 2.106 3.731
Ba 1.308 3.884 7.262
Ba 2.422 4.558 0.628
Pt 1.415 0.190 7.921
Pt 0.564 5.800 3.072
! crystal system: monoclinic
! formation enthalpy at 0 K: -0.49 eV per atom



(3)
! ErScCuHg (GGA-PBE, optimized geometry); values from VASP
&SYSTEM
  ibrav = 0, nat = 4, ntyp = 4
/
ATOMIC_SPECIES
Hg 200.59 Hg.upf
Cu 63.55 Cu.upf
Sc 44.96 Sc.upf
Er 167.26 Er.upf
CELL_PARAMETERS angstrom
3.400 0.000 0.000
0.000 3.400 0.000
0.000 0.000 7.304
ATOMIC_POSITIONS angstrom
Hg 1.700 1.700 0.911
Cu 1.700 1.700 4.285
Sc 0.000 0.000 2.804
Er 0.000 0.000 6.081
! crystal system: tetragonal
! formation enthalpy at 0 K: -0.35 eV per atom



(4)
! Ni3Ag5Au12 (GGA-PBE, optimized geometry); values from VASP
&SYSTEM
  ibrav = 0, nat = 80, ntyp = 3
/
ATOMIC_SPECIES
Au 196.97 Au.upf
Ni 58.69 Ni.upf
Ag 107.87 Ag.upf
CELL_PARAMETERS angstrom
-8.044 -10.609 -0.513
12.653 -3.950 -1.354
-1.502 6.150 11.723
ATOMIC_POSITIONS angstrom
Au 5.434 -7.065 3.658
Au -4.239 -7.576 4.177
Au -3.250 -9.617 2.124
Au -0.792 -5.230 5.679
Au -4.294 -7.894 0.322
Au -1.315 -7.549 3.279
Au 7.400 -0.515 9.535
Au 0.887 -0.228 2.505
Au 1.698 0.781 9.158
Au 4.856 -6.730 -0.382
Au -3.073 -2.857 3.648
Au 6.180 -5.552 6.209
Au 0.898 1.313 4.725
Au 4.422 -0.860 6.578
Au 0.161 -2.392 6.304
Au -0.405 -3.213 3.412
Au 10.527 -2.524 2.925
Au -7.421 -5.885 6.932
Au 10.696 -3.373 0.365
Au 7.636 -2.797 7.513
Au -0.563 -11.038 0.652
Au 3.511 -5.196 6.445
Au 7.346 -0.833 5.681
Au 6.329 -4.144 3.498
Au 0.629 -3.445 9.479
Au 2.945 -6.017 3.553
Au 1.408 -9.190 0.699
Au -1.844 -6.193 1.002
Au 3.669 2.629 9.205
Au -2.328 -1.344 6.200
Au -1.895 3.732 10.670
Au 4.950 -2.216 8.856
Au 2.208 -9.722 5.132
Au 2.477 -4.964 0.379
Au 5.002 -12.140 -0.813
Au -3.205 -3.895 9.716
Au 6.312 -4.514 0.141
Au -4.530 -5.611 2.344
Au 3.898 -3.179 4.178
Au -3.223 -4.265 6.359
Au 6.356 1.208 7.733
Au -1.153 2.433 8.419
Au 4.259 -10.842 1.438
Au 2.219 -8.181 7.352
Au 3.875 -2.665 0.116
Au -0.769 -5.744 9.741
Au -7.590 -5.036 9.492
Au -1.749 -1.679 10.239
Ni 0.843 3.068 9.856
Ni -0.993 -0.840 4.099
Ni -2.428 -5.312 3.738
Ni 8.939 -0.170 7.544
Ni 4.099 -7.569 5.758
Ni 4.516 -4.910 1.893
Ni -5.832 -8.239 2.313
Ni 5.534 -3.097 6.120
Ni -1.410 -3.499 7.965
Ni -1.476 -8.669 0.573
Ni 2.263 -11.477 0.002
Ni 4.582 0.260 9.284
Ag 7.921 -1.982 3.317
Ag -5.766 -3.069 9.704
Ag -0.257 -7.139 7.498
Ag -4.773 -2.229 5.605
Ag 8.872 -5.340 0.153
Ag 3.147 -4.212 8.922
Ag 0.000 0.000 0.000
Ag -4.814 -6.427 6.540
Ag 1.553 -4.204 4.929
Ag 5.575 1.100 5.185
Ag 5.668 -8.550 1.426
Ag -0.041 -4.197 0.935
Ag 2.304 -7.280 -0.933
Ag -4.022 -5.305 -0.256
Ag 1.795 -0.290 6.691
Ag 1.312 -8.119 3.166
Ag -2.562 0.141 8.431
Ag 6.326 -1.975 -0.677
Ag -0.751 3.075 5.862
Ag 3.364 -1.270 2.359
! crystal system: cubic
! formation enthalpy at 0 K: 0.51 eV per atom



(5)
! AlTlF3 (GGA-PBE, optimized geometry); values from VASP
&SYSTEM
  ibrav = 0, nat = 5, ntyp = 3
/
ATOMIC_SPECIES
Tl 204.38 Tl.upf
F 19.00 F.upf
Al 26.98 Al.upf
CELL_PARAMETERS angstrom
-1.522 -2.070 -3.348
2.126 -3.453 1.169
-3.313 -1.265 2.288
ATOMIC_POSITIONS angstrom
Tl -1.355 -3.394 0.055
F -1.656 -0.632 1.144
F -0.761 -1.035 -1.674
F 1.063 -1.727 0.584
Al 0.000 0.000 0.000
! crystal system: cubic
! energy relative to the elements, uncorrected: -10.91 eV per formula unit



(6)
! Al4CdSb (GGA-PBE, optimized geometry); values from VASP
&SYSTEM
  ibrav = 0, nat = 6, ntyp = 3
/
ATOMIC_SPECIES
Al 26.98 Al.upf
Sb 121.76 Sb.upf
Cd 112.41 Cd.upf
CELL_PARAMETERS angstrom
-1.788 -4.848 -2.031
-5.443 -0.924 -0.591
-2.243 -0.226 -5.074
ATOMIC_POSITIONS angstrom
Al -6.273 -2.712 -3.182
Al -3.554 -2.250 -2.887
Al -4.674 -2.363 -5.422
Al -4.447 -4.672 -3.902
Sb 0.000 0.000 0.000
Cd -7.106 -4.499 -5.772
! crystal system: cubic
! energy relative to the elements, uncorrected: 1.19 eV per formula unit



(7)
! Y3MgRu (GGA-PBE, optimized geometry); values from VASP
&SYSTEM
  ibrav = 0, nat = 10, ntyp = 3
/
ATOMIC_SPECIES
Y 88.91 Y.upf
Ru 101.07 Ru.upf
Mg 24.30 Mg.upf
CELL_PARAMETERS angstrom
3.542 -0.001 -0.001
0.001 9.295 0.079
0.003 3.305 8.688
ATOMIC_POSITIONS angstrom
Y 3.057 2.344 5.656
Y 3.057 5.805 0.681
Y 3.058 6.198 7.345
Y 1.292 9.341 0.444
Y 1.292 5.193 3.946
Y 3.058 8.728 3.708
Ru 1.286 7.267 2.195
Ru 1.286 4.272 6.499
Mg 3.068 2.618 2.158
Mg 1.286 8.917 6.540
! crystal system: orthorhombic
! formation enthalpy at 0 K: -0.11 eV per atom



(8)
! Rb3Ag2S3 (GGA-PBE, optimized geometry); values from VASP
&SYSTEM
  ibrav = 0, nat = 16, ntyp = 3
/
ATOMIC_SPECIES
Rb 85.47 Rb.upf
Ag 107.87 Ag.upf
S 32.06 S.upf
CELL_PARAMETERS angstrom
4.510 0.000 0.000
-2.255 6.455 0.000
0.000 0.000 15.430
ATOMIC_POSITIONS angstrom
Rb 0.000 0.940 9.398
Rb 2.255 5.514 1.683
Rb 0.000 0.940 13.747
Rb 2.255 1.704 3.858
Rb 2.255 5.514 6.032
Rb 0.000 4.750 11.573
Ag 2.255 3.543 14.042
Ag 0.000 2.911 6.327
Ag 2.255 3.543 9.103
Ag 0.000 2.911 1.388
S 0.000 4.031 3.858
S 0.000 4.613 8.404
S 2.255 1.842 7.026
S 2.255 2.423 11.573
S 0.000 4.613 14.741
S 2.255 1.842 0.689
! crystal system: orthorhombic
! energy relative to the elements, uncorrected: -4.74 eV per formula unit



(9)
! CeDyYTl (GGA-PBE, optimized geometry); values from VASP
&SYSTEM
  ibrav = 0, nat = 4, ntyp = 4
/
ATOMIC_SPECIES
Y 88.91 Y.upf
Tl 204.38 Tl.upf
Ce 140.12 Ce.upf
Dy 162.50 Dy.upf
CELL_PARAMETERS angstrom
-2.249 -3.154 3.788
-0.238 -5.363 -0.732
3.108 -3.283 2.987
ATOMIC_POSITIONS angstrom
Y 0.000 0.000 0.000
Tl 0.465 -8.850 4.532
Ce 0.155 -2.950 1.511
Dy 0.310 -5.900 3.022
! crystal system: cubic
! formation enthalpy at 0 K: 0.02 eV per atom



(10)
! Er2Co3Sn5 (GGA-PBE, optimized geometry); values from VASP
&SYSTEM
  ibrav = 0, nat = 20, ntyp = 3
/
ATOMIC_SPECIES
Sn 118.71 Sn.upf
Co 58.93 Co.upf
Er 167.26 Er.upf
CELL_PARAMETERS angstrom
4.223 0.000 -0.719
0.000 7.078 0.000
0.070 0.000 13.165
ATOMIC_POSITIONS angstrom
Sn 3.002 3.115 4.865
Sn 1.258 3.629 7.384
Sn 4.087 0.625 11.236
Sn 0.527 1.772 3.096
Sn 0.206 4.164 1.209
Sn 3.766 5.311 9.349
Sn 1.773 2.678 10.410
Sn 3.035 0.090 5.061
Sn 2.520 6.217 2.035
Sn 1.291 6.654 7.581
Co 0.215 6.901 1.261
Co 0.971 1.596 5.701
Co 1.718 0.067 10.083
Co 3.322 5.135 6.745
Co 2.575 3.606 2.362
Co 4.078 3.362 11.184
Er 3.551 1.636 8.087
Er 0.742 5.175 4.358
Er 2.069 5.337 12.145
Er 2.224 1.798 0.300
! crystal system: orthorhombic
! formation enthalpy at 0 K: -0.38 eV per atom



(11)
! BaMn (GGA-PBE, optimized geometry); values from VASP
&SYSTEM
  ibrav = 0, nat = 8, ntyp = 2
/
ATOMIC_SPECIES
Ba 137.33 Ba.upf
Mn 54.94 Mn.upf
CELL_PARAMETERS angstrom
-3.516 -5.333 1.442
4.795 -3.795 -2.343
2.743 -0.202 5.943
ATOMIC_POSITIONS angstrom
Ba 1.671 -3.877 2.095
Ba 5.017 -2.854 4.193
Ba 2.566 -6.608 -0.800
Ba -1.211 -5.321 4.596
Mn 0.814 -7.156 2.262
Mn 0.405 -0.940 0.508
Mn 2.268 -4.901 5.275
Mn 4.556 -5.663 2.039
! crystal system: cubic
! formation enthalpy at 0 K: 0.80 eV per atom



(12)
! Ce2MgGa3Pd4 (GGA-PBE, optimized geometry); values from VASP
&SYSTEM
  ibrav = 0, nat = 10, ntyp = 4
/
ATOMIC_SPECIES
Pd 106.42 Pd.upf
Ga 69.72 Ga.upf
Ce 140.12 Ce.upf
Mg 24.30 Mg.upf
CELL_PARAMETERS angstrom
-0.243 -3.234 -2.553
3.651 1.016 -1.635
5.304 -6.539 7.780
ATOMIC_POSITIONS angstrom
Pd 3.685 -1.785 1.910
Pd 3.323 -5.864 3.776
Pd 1.704 -1.109 -2.094
Pd 0.000 0.000 0.000
Ga 2.512 -0.338 0.189
Ga 4.496 -7.310 5.497
Ga 2.652 -3.270 3.890
Ce 1.181 -3.223 0.634
Ce 5.827 -4.425 5.052
Mg 4.356 -4.379 1.796
! crystal system: tetragonal
! formation enthalpy at 0 K: -0.72 eV per atom



For reference, E by record: -4.90; -2.84; -4.18; -3.04; -4.53; -3.14; -6.16; -3.22; -4.82; -5.42; -4.75; -5.05 eV/atom.